1.
The following is a DFT calculation (PBE-GGA) of CdSb2Pt after structural relaxation.

Cell: 5.290 5.290 6.138 Å, 109.74 109.74 39.21°
Sites, in units of the cell vectors:
Cd 0.000 0.000 0.000
Sb 0.655 0.655 0.667
Sb 0.851 0.851 0.375
Pt 0.278 0.278 0.018

- ρ: 9.03 Mg/m³
- Volume: 101.4 Å³ per cell
- Formation energy (no corrections): -152 meV per atom
- Magnetization: 0.00 μB/cell
- Space-group type: Cm (8)

2.
The following is a DFT calculation (PBE-GGA) of PaAsO after structural relaxation.

Cell: 4.399 4.399 4.399 Å, 60.00 60.00 60.00°
Sites, in units of the cell vectors:
Pa 0.000 0.000 0.000
As 0.250 0.250 0.250
O 0.750 0.750 0.750

- ρ: 8.88 Mg/m³
- Volume: 60.2 Å³ per cell
- Formation energy (no corrections): -1381 meV per atom
- Magnetization: 0.00 μB/cell
- Space-group type: F-43m (216)

3.
The following is a DFT calculation (PBE-GGA) of La2Dy6Tm5 after structural relaxation.

Cell: 11.700 20.124 3.582 Å, 90.00 90.00 90.00°
Sites, in units of the cell vectors:
La 0.165 0.220 0.000
La 0.335 0.720 0.000
La 0.665 0.280 0.000
La 0.835 0.780 0.000
Dy 0.059 0.924 0.000
Dy 0.078 0.637 0.000
Dy 0.180 0.378 0.500
Dy 0.320 0.878 0.500
Dy 0.422 0.137 0.000
Dy 0.441 0.424 0.000
Dy 0.559 0.576 0.000
Dy 0.578 0.863 0.000
Dy 0.680 0.122 0.500
Dy 0.820 0.622 0.500
Dy 0.922 0.363 0.000
Dy 0.941 0.076 0.000
Tm 0.000 0.500 0.500
Tm 0.097 0.781 0.500
Tm 0.200 0.053 0.500
Tm 0.300 0.553 0.500
Tm 0.403 0.281 0.500
Tm 0.500 0.000 0.500
Tm 0.597 0.719 0.500
Tm 0.700 0.447 0.500
Tm 0.800 0.947 0.500
Tm 0.903 0.219 0.500

- ρ: 8.26 Mg/m³
- Volume: 843.5 Å³ per cell
- Magnetization: 0.00 μB/cell
- Energy of formation from the pure elements: 1.353 eV/f.u.
- Space-group type: Pbam (55)